1.
{
  "formula": "MgSiNi4",
  "functional": "PBE",
  "state": "relaxed",
  "lattice": [[2.074, -6.098, 0.000], [2.074, 6.098, 0.000], [0.000, 0.000, 6.165]],
  "species": ["Mg", "Mg", "Si", "Si", "Ni", "Ni", "Ni", "Ni", "Ni", "Ni", "Ni", "Ni"],
  "frac_coords": [[0.113, 0.887, 0.750], [0.887, 0.113, 0.250], [0.352, 0.648, 0.750], [0.648, 0.352, 0.250], [0.085, 0.915, 0.250], [0.272, 0.728, 0.069], [0.272, 0.728, 0.431], [0.500, 0.500, 0.000], [0.500, 0.500, 0.500], [0.728, 0.272, 0.569], [0.728, 0.272, 0.931], [0.915, 0.085, 0.750]],
  "m_tot_mub_per_cell": 0.000,
  "dft_energy_ev_per_atom": -5.149,
  "raw_formation_energy_ev_per_atom": -0.12
}

2.
{
  "formula": "SbRhW2",
  "functional": "PBE",
  "state": "relaxed",
  "lattice": [[2.866, 0.000, 0.000], [0.000, 4.334, 0.000], [-1.006, 0.000, 5.450]],
  "species": ["Sb", "Rh", "W", "W"],
  "frac_coords": [[0.000, 0.000, 0.000], [0.886, 0.500, 0.748], [0.306, 0.000, 0.507], [0.563, 0.500, 0.261]],
  "m_tot_mub_per_cell": 0.000,
  "dft_energy_ev_per_atom": -9.049,
  "raw_formation_energy_ev_per_atom": 0.30
}

3.
{
  "formula": "Tm3NiSb",
  "functional": "PBE",
  "state": "relaxed",
  "lattice": [[5.943, -2.498, 0.000], [5.943, 2.498, 0.000], [-4.342, 0.000, 8.413]],
  "species": ["Tm", "Tm", "Tm", "Tm", "Tm", "Tm", "Ni", "Ni", "Sb", "Sb"],
  "frac_coords": [[0.129, 0.129, 0.265], [0.135, 0.135, 0.676], [0.370, 0.370, 0.064], [0.630, 0.630, 0.936], [0.865, 0.865, 0.324], [0.871, 0.871, 0.735], [0.111, 0.111, 0.971], [0.889, 0.889, 0.029], [0.399, 0.399, 0.569], [0.601, 0.601, 0.431]],
  "m_tot_mub_per_cell": 0.000,
  "dft_energy_ev_per_atom": -5.189,
  "raw_formation_energy_ev_per_atom": -0.53
}

4.
{
  "formula": "TmHgO",
  "functional": "PBE",
  "state": "relaxed",
  "lattice": [[-1.817, 1.817, 8.583], [1.817, -1.817, 8.583], [1.817, 1.817, -8.583]],
  "species": ["Tm", "Tm", "Hg", "Hg", "O", "O"],
  "frac_coords": [[0.079, 0.079, 0.000], [0.921, 0.921, 0.000], [0.303, 0.303, 0.000], [0.697, 0.697, 0.000], [0.000, 0.500, 0.500], [0.500, 0.000, 0.500]],
  "m_tot_mub_per_cell": 0.000,
  "dft_energy_ev_per_atom": -4.922,
  "relative_energy_ev_per_fu": 1.54,
  "raw_formation_energy_ev_per_atom": -1.68
}

5.
{
  "formula": "LiUSiOs",
  "functional": "PBE",
  "state": "relaxed",
  "lattice": [[0.000, 3.201, 3.201], [3.201, 0.000, 3.201], [3.201, 3.201, 0.000]],
  "species": ["Li", "U", "Si", "Os"],
  "frac_coords": [[0.000, 0.000, 0.000], [0.750, 0.750, 0.750], [0.250, 0.250, 0.250], [0.500, 0.500, 0.500]],
  "m_tot_mub_per_cell": 1.398,
  "dft_energy_ev_per_atom": -7.501,
  "raw_formation_energy_ev_per_atom": -0.04
}

6.
{
  "formula": "AcSF6",
  "functional": "PBE",
  "state": "relaxed",
  "lattice": [[4.025, -3.724, 0.000], [4.025, 3.724, 0.000], [-0.946, 0.000, 4.036]],
  "species": ["Ac", "S", "F", "F", "F", "F", "F", "F"],
  "frac_coords": [[0.000, 0.000, 0.000], [0.500, 0.500, 0.500], [0.168, 0.168, 0.562], [0.223, 0.569, 0.209], [0.431, 0.777, 0.791], [0.569, 0.223, 0.209], [0.777, 0.431, 0.791], [0.832, 0.832, 0.438]],
  "m_tot_mub_per_cell": 1.000,
  "dft_energy_ev_per_atom": -5.012,
  "raw_formation_energy_ev_per_atom": -2.58
}